# La7DyEr2

La7DyEr2 after structural relaxation (PBE-GGA, Alexandria via LeMat-Bulk).

The structure belongs to space group Cmmm (No. 65); the cell edges are 8.9607, 16.3459 and 5.8089 Å and the angles 90.00°, 90.00° and 90.00°. The asymmetric unit holds La at (0.0000, 0.0000, 0.0000), La at (0.0000, 0.2673, 0.5000), La at (0.1814, 0.3859, 0.0000), Dy at (0.0000, 0.5000, 0.5000) and Er at (0.0000, 0.2054, 0.0000).

As for the energy of formation from the pure elements: 0.601 eV/atom. As for the total energy: -84.412 eV per cell. The density is 5.74 g/cm3.